Record 1
CaSi2IrOs | PBE-GGA | optimized geometry

Unit cell a=4.1701 b=4.1701 c=9.8370 alpha=90.00 beta=90.00 gamma=90.00
With the nearest neighbours (Å) after each atom.
Fractional positions:
Ca 0.0000 0.0000 0.0000  8 Si 3.21, 4 Os 3.22, 4 Ir 3.22
Ca 0.5000 0.5000 0.5000  8 Si 3.21, 4 Os 3.22, 4 Ir 3.22
Si 0.0000 0.0000 0.3706  2 Os 2.40, 2 Ir 2.40, 1 Si 2.55
Si 0.0000 0.0000 0.6294  2 Os 2.40, 2 Ir 2.40, 1 Si 2.55
Si 0.5000 0.5000 0.1294  2 Os 2.40, 2 Ir 2.40, 1 Si 2.55
Si 0.5000 0.5000 0.8706  2 Os 2.40, 2 Ir 2.40, 1 Si 2.55
Ir 0.0000 0.5000 0.2500  4 Si 2.40
Ir 0.5000 0.0000 0.7500  4 Si 2.40
Os 0.0000 0.5000 0.7500  4 Si 2.40
Os 0.5000 0.0000 0.2500  4 Si 2.40

Computed properties:
* uncorrected formation energy: -743 meV/atom
* SG: I-4m2 (119)



Record 2
AcLaPtO6 | PBE-GGA | optimized geometry

Unit cell a=5.9258 b=5.9258 c=9.4152 alpha=90.00 beta=90.00 gamma=120.00
With the nearest neighbours (Å) after each atom.
Fractional positions:
Ac 0.3333 0.6667 0.2500  6 O 2.48
Ac 0.6667 0.3333 0.7500  6 O 2.48
La 0.0000 0.0000 0.0000  6 O 2.43
La 0.0000 0.0000 0.5000  6 O 2.43
Pt 0.3333 0.6667 0.7500  6 O 1.99
Pt 0.6667 0.3333 0.2500  6 O 1.99
O 0.0623 0.3807 0.6316  1 Pt 1.99
O 0.0623 0.6816 0.8684  1 Pt 1.99
O 0.3184 0.3807 0.8684  1 Pt 1.99
O 0.3184 0.9377 0.6316  1 Pt 1.99
O 0.3807 0.0623 0.1316  1 Pt 1.99
O 0.3807 0.3184 0.3684  1 Pt 1.99
O 0.6193 0.6816 0.6316  1 Pt 1.99
O 0.6193 0.9377 0.8684  1 Pt 1.99
O 0.6816 0.0623 0.3684  1 Pt 1.99
O 0.6816 0.6193 0.1316  1 Pt 1.99
O 0.9377 0.3184 0.1316  1 Pt 1.99
O 0.9377 0.6193 0.3684  1 Pt 1.99

Computed properties:
* uncorrected formation energy: -1960 meV/atom
* SG: P-31c (163)



Record 3
HgB | PBE-GGA | optimized geometry

Unit cell a=5.0130 b=5.0130 c=5.0130 alpha=90.00 beta=90.00 gamma=90.00
With the nearest neighbours (Å) after each atom.
Fractional positions:
Hg 0.0000 0.0000 0.0000  6 B 2.51
Hg 0.0000 0.5000 0.5000  6 B 2.51
Hg 0.5000 0.0000 0.5000  6 B 2.51
Hg 0.5000 0.5000 0.0000  6 B 2.51
B 0.0000 0.0000 0.5000  6 Hg 2.51
B 0.0000 0.5000 0.0000  6 Hg 2.51
B 0.5000 0.0000 0.0000  6 Hg 2.51
B 0.5000 0.5000 0.5000  6 Hg 2.51

Computed properties:
* SG: Fm-3m (225)
* calculated formation energy: 1.494 eV/atom
* ΔE to the lowest computed polymorph: 2.030 eV/f.u.



Record 4
Ba2Tl12Pb7 | PBE-GGA | optimized geometry

Unit cell a=14.5749 b=14.5749 c=3.7568 alpha=90.00 beta=90.00 gamma=120.00
With the nearest neighbours (Å) after each atom.
Fractional positions:
Ba 0.3333 0.6667 0.2490  2 Ba 3.76, 6 Pb 3.83, 6 Tl 3.91
Ba 0.6667 0.3333 0.7510  2 Ba 3.76, 6 Pb 3.83, 6 Tl 3.91
Tl 0.0783 0.4580 0.7479  4 Pb 3.35-3.40, 4 Tl 3.60-3.66
Tl 0.0816 0.2466 0.2652  4 Pb 3.32-3.43, 4 Tl 3.60-3.66
Tl 0.1650 0.9184 0.2652  4 Pb 3.32-3.43, 4 Tl 3.60-3.66
Tl 0.2466 0.1650 0.7348  4 Pb 3.32-3.43, 4 Tl 3.60-3.66
Tl 0.3797 0.9217 0.7479  4 Pb 3.35-3.40, 4 Tl 3.60-3.66
Tl 0.4580 0.3797 0.2521  4 Pb 3.35-3.40, 4 Tl 3.60-3.66
Tl 0.5420 0.6203 0.7479  4 Pb 3.35-3.40, 4 Tl 3.60-3.66
Tl 0.6203 0.0783 0.2521  4 Pb 3.35-3.40, 4 Tl 3.60-3.66
Tl 0.7534 0.8350 0.2652  4 Pb 3.32-3.43, 4 Tl 3.60-3.66
Tl 0.8350 0.0816 0.7348  4 Pb 3.32-3.43, 4 Tl 3.60-3.66
Tl 0.9184 0.7534 0.7348  4 Pb 3.32-3.43, 4 Tl 3.60-3.66
Tl 0.9217 0.5420 0.2521  4 Pb 3.35-3.40, 4 Tl 3.60-3.66
Pb 0.0000 0.0000 0.0000  6 Tl 3.32
Pb 0.1294 0.7106 0.7479  7 Tl 3.34-3.43
Pb 0.2894 0.4188 0.7479  7 Tl 3.34-3.43
Pb 0.4188 0.1294 0.2521  7 Tl 3.34-3.43
Pb 0.5812 0.8706 0.7479  7 Tl 3.34-3.43
Pb 0.7106 0.5812 0.2521  7 Tl 3.34-3.43
Pb 0.8706 0.2894 0.2521  7 Tl 3.34-3.43

Computed properties:
* SG: P-3 (147)
* calculated formation energy: -0.091 eV/atom



Record 5
LiMgW | PBE-GGA | optimized geometry

Unit cell a=5.9441 b=5.9441 c=5.9441 alpha=90.00 beta=90.00 gamma=90.00
With the nearest neighbours (Å) after each atom.
Fractional positions:
Li 0.0000 0.0000 0.0000  4 W 2.57, 4 Mg 2.57
Li 0.0000 0.5000 0.5000  4 W 2.57, 4 Mg 2.57
Li 0.5000 0.0000 0.5000  4 W 2.57, 4 Mg 2.57
Li 0.5000 0.5000 0.0000  4 W 2.57, 4 Mg 2.57
Mg 0.2500 0.2500 0.2500  4 Li 2.57
Mg 0.2500 0.7500 0.7500  4 Li 2.57
Mg 0.7500 0.2500 0.7500  4 Li 2.57
Mg 0.7500 0.7500 0.2500  4 Li 2.57
W 0.2500 0.2500 0.7500  4 Li 2.57
W 0.2500 0.7500 0.2500  4 Li 2.57
W 0.7500 0.2500 0.2500  4 Li 2.57
W 0.7500 0.7500 0.7500  4 Li 2.57

Computed properties:
* SG: F-43m (216)
* calculated formation energy: 1.497 eV/atom
* ΔE to the lowest computed polymorph: 3.386 eV/f.u.



Record 6
Tl4In7Hg | PBE-GGA | optimized geometry

Unit cell a=3.4140 b=3.4140 c=33.4742 alpha=90.00 beta=90.00 gamma=120.00
With the nearest neighbours (Å) after each atom.
Fractional positions:
Tl 0.3333 0.6667 0.1639  6 Tl 3.41, 6 In 3.47-3.48
Tl 0.3333 0.6667 0.4149  6 Tl 3.41, 6 In 3.45-3.46
Tl 0.6667 0.3333 0.5851  6 Tl 3.41, 6 In 3.45-3.46
Tl 0.6667 0.3333 0.8361  6 Tl 3.41, 6 In 3.47-3.48
In 0.0000 0.0000 0.2494  9 In 3.35-3.41, 3 Tl 3.47
In 0.0000 0.0000 0.5000  6 In 3.41, 6 Tl 3.46
In 0.0000 0.0000 0.7506  9 In 3.35-3.41, 3 Tl 3.47
In 0.3333 0.6667 0.6699  9 In 3.35-3.41, 3 Tl 3.45
In 0.3333 0.6667 0.9218  3 Hg 3.28, 6 In 3.41, 3 Tl 3.48
In 0.6667 0.3333 0.0782  3 Hg 3.28, 6 In 3.41, 3 Tl 3.48
In 0.6667 0.3333 0.3301  9 In 3.35-3.41, 3 Tl 3.45
Hg 0.0000 0.0000 0.0000  6 In 3.28, 6 Hg 3.41

Computed properties:
* SG: P-3m1 (164)
* calculated formation energy: 0.021 eV/atom



Record 7
TaV | PBE-GGA | optimized geometry

Unit cell a=3.1703 b=3.1703 c=3.1703 alpha=90.00 beta=90.00 gamma=90.00
With the nearest neighbours (Å) after each atom.
Fractional positions:
Ta 0.0000 0.0000 0.0000  8 V 2.75
V 0.5000 0.5000 0.5000  8 Ta 2.75

Computed properties:
* SG: Pm-3m (221)
* calculated formation energy: 0.027 eV/atom
* ΔE to the lowest computed polymorph: 0.000 eV/f.u.



Record 8
TlP2Ru | PBE-GGA | optimized geometry

Unit cell a=6.4832 b=6.4832 c=6.4832 alpha=90.00 beta=90.00 gamma=90.00
With the nearest neighbours (Å) after each atom.
Fractional positions:
Tl 0.0000 0.0000 0.0000  4 Ru 2.81, 4 P 2.81
Tl 0.0000 0.5000 0.5000  4 Ru 2.81, 4 P 2.81
Tl 0.5000 0.0000 0.5000  4 Ru 2.81, 4 P 2.81
Tl 0.5000 0.5000 0.0000  4 Ru 2.81, 4 P 2.81
P 0.0000 0.0000 0.5000  4 Ru 2.81, 4 P 2.81
P 0.0000 0.5000 0.0000  4 Ru 2.81, 4 P 2.81
P 0.2500 0.2500 0.7500  4 Tl 2.81, 4 P 2.81
P 0.2500 0.7500 0.2500  4 Tl 2.81, 4 P 2.81
P 0.5000 0.0000 0.0000  4 Ru 2.81, 4 P 2.81
P 0.5000 0.5000 0.5000  4 Ru 2.81, 4 P 2.81
P 0.7500 0.2500 0.2500  4 Tl 2.81, 4 P 2.81
P 0.7500 0.7500 0.7500  4 Tl 2.81, 4 P 2.81
Ru 0.2500 0.2500 0.2500  4 Tl 2.81, 4 P 2.81
Ru 0.2500 0.7500 0.7500  4 Tl 2.81, 4 P 2.81
Ru 0.7500 0.2500 0.7500  4 Tl 2.81, 4 P 2.81
Ru 0.7500 0.7500 0.2500  4 Tl 2.81, 4 P 2.81

Computed properties:
* SG: F-43m (216)
* calculated formation energy: 0.840 eV/atom
* ΔE to the lowest computed polymorph: 3.543 eV/f.u.